The following is a DFT calculation (PBE-GGA) of an optimized crystal structure of Pu2Rh3Au.

Cell and atoms, written as CIF:
```
data_Pu2Rh3Au
_cell_length_a 5.4442
_cell_length_b 5.4442
_cell_length_c 13.0960
_cell_angle_alpha 90.00
_cell_angle_beta 90.00
_cell_angle_gamma 120.00
_space_group_name_H-M_alt 'R -3 m'
_space_group_IT_number 166
_space_group_name_Hall '-R 3 2"'
loop_
_atom_site_label
_atom_site_fract_x
_atom_site_fract_y
_atom_site_fract_z
Pu1 0.0000 0.0000 0.1217
Rh1 0.0000 0.5000 0.0000
Au1 0.0000 0.0000 0.5000
```

Computed properties:
Spin magnetization in μB/f.u.: 10.32
Formation enthalpy at 0 K in meV/atom: -450